A plane-wave DFT calculation with GGA-PBE was carried out for TiGa3F after structural relaxation.

Cell: 5.1245 5.1245 5.1245 Å, 90.00 90.00 90.00°
Closest atoms and distances in Å follow each position.
Positions (direct):
Ga 0.5000 0.0000 0.0000  2 Ti 2.56
Ga 0.0000 0.5000 0.0000  2 Ti 2.56
Ga 0.0000 0.0000 0.5000  2 Ti 2.56
Ti 0.0000 0.0000 0.0000  6 Ga 2.56
F 0.5000 0.5000 0.5000  12 Ga 3.62

## Properties
calculated volume	26.9	Å³ per atom
relative energy among the computed polymorphs	54.0	kJ/mol of atoms
size of the total moment	3.6	μB/cell

---

A plane-wave DFT calculation with GGA-PBE was carried out for Tl4GaF6 after structural relaxation.

Cell: 7.7484 7.7484 8.5355 Å, 90.00 90.00 90.00°
Closest atoms and distances in Å follow each position.
Positions (direct):
Tl 0.6700 0.8300 0.2500  6 F 2.82-3.08
Tl 0.3300 0.1700 0.7500  6 F 2.82-3.08
Tl 0.8300 0.3300 0.2500  6 F 2.82-3.08
Tl 0.6700 0.8300 0.7500  6 F 2.82-3.08
Tl 0.1700 0.6700 0.2500  6 F 2.82-3.08
Tl 0.8300 0.3300 0.7500  6 F 2.82-3.08
Tl 0.1700 0.6700 0.7500  6 F 2.82-3.08
Tl 0.3300 0.1700 0.2500  6 F 2.82-3.08
F 0.5000 0.5000 0.7721  1 Ga 1.95
F 0.7706 0.0991 0.5000  1 Ga 1.94
F 0.0000 0.0000 0.7279  1 Ga 1.95
F 0.4009 0.7294 0.0000  1 Ga 1.94
F 0.5991 0.2706 0.0000  1 Ga 1.94
F 0.2294 0.9009 0.5000  1 Ga 1.94
F 0.7294 0.5991 0.0000  1 Ga 1.94
F 0.9009 0.7706 0.5000  1 Ga 1.94
F 0.0000 0.0000 0.2721  1 Ga 1.95
F 0.2706 0.4009 0.0000  1 Ga 1.94
F 0.5000 0.5000 0.2279  1 Ga 1.95
F 0.0991 0.2294 0.5000  1 Ga 1.94
Ga 0.5000 0.5000 0.0000  6 F 1.94-1.95
Ga 0.0000 0.0000 0.5000  6 F 1.94-1.95

## Properties
energy	-88.7	eV/cell
calculated volume	23.3	Å³ per atom
size of the total moment	0.0	μB/cell

---

A plane-wave DFT calculation with GGA-PBE was carried out for Tl3GaF6 after structural relaxation.

Cell: 6.4725 6.4725 6.4725 Å, 60.00 60.00 60.00°
Closest atoms and distances in Å follow each position.
Positions (direct):
Tl 0.7500 0.7500 0.7500  12 F 3.26
Tl 0.0000 0.0000 0.0000  6 F 2.65
Tl 0.2500 0.2500 0.2500  12 F 3.26
F 0.2893 0.7107 0.7107  1 Ga 1.93
F 0.7107 0.2893 0.2893  1 Ga 1.93
F 0.2893 0.7107 0.2893  1 Ga 1.93
F 0.2893 0.2893 0.7107  1 Ga 1.93
F 0.7107 0.2893 0.7107  1 Ga 1.93
F 0.7107 0.7107 0.2893  1 Ga 1.93
Ga 0.5000 0.5000 0.5000  6 F 1.93

## Properties
energy	-42.9	eV/cell
calculated volume	19.2	Å³ per atom
size of the total moment	0.0	μB/cell